VASP calculation (GGA+U) on Cs2CrGeO4 after structural relaxation.

Properties
Total DFT energy (no corrections) (eV/cell): -369.5
V (Å³/cell): 1513.9
Magnetization (μB/atom): 0.500

```
data_Cs2CrGeO4
_cell_length_a 5.477
_cell_length_b 12.876
_cell_length_c 21.469
_cell_angle_alpha 90.00
_cell_angle_beta 90.00
_cell_angle_gamma 90.00
_symmetry_space_group_name_H-M 'F d d d'
_symmetry_Int_Tables_number 70
loop_
_symmetry_equiv_pos_as_xyz
'x,y,z'
'-x,-y,-z'
'-x+1/4,-y+1/4,z'
'x+1/4,y+1/4,-z'
'x,-y+1/4,-z+1/4'
'-x,y+1/4,z+1/4'
'-x+1/4,y,-z+1/4'
'x+1/4,-y,z+1/4'
'x,y+1/2,z+1/2'
'-x,-y+1/2,-z+1/2'
'-x+1/4,-y+3/4,z+1/2'
'x+1/4,y+3/4,-z+1/2'
'x,-y+3/4,-z+3/4'
'-x,y+3/4,z+3/4'
'-x+1/4,y+1/2,-z+3/4'
'x+1/4,-y+1/2,z+3/4'
'x+1/2,y,z+1/2'
'-x+1/2,-y,-z+1/2'
'-x+3/4,-y+1/4,z+1/2'
'x+3/4,y+1/4,-z+1/2'
'x+1/2,-y+1/4,-z+3/4'
'-x+1/2,y+1/4,z+3/4'
'-x+3/4,y,-z+3/4'
'x+3/4,-y,z+3/4'
'x+1/2,y+1/2,z'
'-x+1/2,-y+1/2,-z'
'-x+3/4,-y+3/4,z'
'x+3/4,y+3/4,-z'
'x+1/2,-y+3/4,-z+1/4'
'-x+1/2,y+3/4,z+1/4'
'-x+3/4,y+1/2,-z+1/4'
'x+3/4,-y+1/2,z+1/4'
loop_
_atom_site_label
_atom_site_fract_x
_atom_site_fract_y
_atom_site_fract_z
Cs1 0.125 0.125 0.302
Cr1 0.125 0.125 0.125
Ge1 0.125 0.125 0.625
O1 0.093 0.289 0.839
```